(1)
A relaxed Li2NdEr crystal. Source: Alexandria, functional PBE.

Lattice parameters (Å, degrees): 7.507 7.507 7.507 90.00 90.00 90.00
Space group Fm-3m (No. 225)
One atom of each set of equivalent atoms:
Li: 0.250 0.250 0.250
Nd: 0.000 0.000 0.000
Er: 0.000 0.000 0.500

Summary:
excess energy over the best structure of this formula in the dataset	0.0022	eV per atom
energy of formation	0.154	eV/atom
electronic total energy	-3.136	eV/atom
N(E_F)	5.17	states/eV/f.u.

=====

(2)
A relaxed CaAg2Sn crystal. Source: Alexandria, functional PBE.

Lattice parameters (Å, degrees): 3.775 3.775 6.545 90.00 90.00 90.00
Space group P4/mmm (No. 123)
One atom of each set of equivalent atoms:
Ca: 0.000 0.000 0.000
Ag: 0.500 0.500 0.257
Sn: 0.000 0.000 0.500

Summary:
energy of formation	-0.202	eV/atom
electronic total energy	-3.129	eV/atom
N(E_F)	1.73	states/eV/f.u.

=====

(3)
A relaxed Zr7Tl3Sn crystal. Source: Alexandria, functional PBE.

Lattice parameters (Å, degrees): 5.438 9.309 10.693 90.00 90.00 90.00
Space group Immm (No. 71)
One atom of each set of equivalent atoms:
Zr: 0.000 0.000 0.000
Zr: 0.000 0.189 0.500
Zr: 0.000 0.331 0.240
Tl: 0.000 0.000 0.272
Tl: 0.000 0.500 0.000
Sn: 0.000 0.500 0.500

Summary:
energy of formation	0.123	eV/atom
electronic total energy	-6.326	eV/atom
N(E_F)	12.42	states/eV/f.u.

=====

(4)
A relaxed La2TbNd4Tm crystal. Source: Alexandria, functional PBE.

Lattice parameters (Å, degrees): 5.149 5.176 10.404 90.00 90.09 90.00
Space group P2/m (No. 10)
One atom of each set of equivalent atoms:
La: 0.000 0.000 0.000
La: 0.500 0.500 0.500
Tb: 0.000 0.000 0.500
Nd: 0.001 0.500 0.751
Nd: 0.500 0.000 0.249
Tm: 0.500 0.500 0.000

Summary:
energy of formation	0.023	eV/atom
electronic total energy	-4.730	eV/atom
N(E_F)	13.73	states/eV/f.u.

=====

(5)
A relaxed CoReW2 crystal. Source: Alexandria, functional PBE.

Lattice parameters (Å, degrees): 3.891 3.891 3.836 90.00 90.00 90.00
Space group P4/mmm (No. 123)
One atom of each set of equivalent atoms:
Co: 0.000 0.000 0.000
Re: 0.500 0.500 0.000
W: 0.000 0.500 0.500

Summary:
excess energy over the best structure of this formula in the dataset	0.0061	eV per atom
energy of formation	0.130	eV/atom
electronic total energy	-11.235	eV/atom
N(E_F)	4.29	states/eV/f.u.

=====

(6)
A relaxed Mg8Zn2Ga3 crystal. Source: Alexandria, functional PBE.

Lattice parameters (Å, degrees): 9.220 13.084 4.642 90.00 90.00 90.00
Space group Cmmm (No. 65)
One atom of each set of equivalent atoms:
Mg: 0.000 0.128 0.000
Mg: 0.000 0.367 0.000
Mg: 0.240 0.128 0.500
Zn: 0.000 0.253 0.500
Ga: 0.000 0.500 0.500
Ga: 0.249 0.000 0.000

Summary:
energy of formation	-0.053	eV/atom
electronic total energy	-1.929	eV/atom
N(E_F)	3.70	states/eV/f.u.

=====

(7)
A relaxed Tl8GaHg2 crystal. Source: Alexandria, functional PBE.

Lattice parameters (Å, degrees): 13.016 9.945 5.729 90.00 107.88 90.00
Space group C2/m (No. 12)
One atom of each set of equivalent atoms:
Tl: 0.080 0.248 0.300
Tl: 0.100 0.000 0.817
Tl: 0.249 0.000 0.418
Ga: 0.000 0.500 0.500
Hg: 0.134 0.500 0.996

Summary:
excess energy over the best structure of this formula in the dataset	0.0190	eV per atom
energy of formation	0.081	eV/atom
electronic total energy	-1.970	eV/atom
N(E_F)	5.87	states/eV/f.u.

=====

(8)
A relaxed LiZn2Mo crystal. Source: Alexandria, functional PBE.

Lattice parameters (Å, degrees): 2.671 4.593 9.174 90.00 90.00 90.00
Space group Immm (No. 71)
One atom of each set of equivalent atoms:
Li: 0.000 0.000 0.000
Zn: 0.000 0.500 0.267
Mo: 0.000 0.000 0.500

Summary:
excess energy over the best structure of this formula in the dataset	0.2848	eV per atom
energy of formation	0.272	eV/atom
electronic total energy	-3.552	eV/atom
N(E_F)	2.22	states/eV/f.u.

=====

(9)
A relaxed CaAsRu2 crystal. Source: Alexandria, functional PBE.

Lattice parameters (Å, degrees): 9.802 3.082 5.256 90.00 109.78 90.00
Space group Cm (No. 8)
One atom of each set of equivalent atoms:
Ca: 0.000 0.000 0.000
As: 0.286 0.500 0.299
Ru: 0.224 0.000 0.606
Ru: 0.499 0.000 0.515

Summary:
energy of formation	-0.015	eV/atom
electronic total energy	-6.316	eV/atom
N(E_F)	5.44	states/eV/f.u.

=====

(10)
A relaxed SrLiIn2Ni crystal. Source: Alexandria, functional PBE.

Lattice parameters (Å, degrees): 4.981 4.981 4.997 90.00 90.00 90.00
Space group P4/mmm (No. 123)
One atom of each set of equivalent atoms:
Sr: 0.000 0.000 0.000
Li: 0.500 0.500 0.000
In: 0.000 0.500 0.500
Ni: 0.500 0.500 0.500

Summary:
energy of formation	-0.220	eV/atom
electronic total energy	-3.191	eV/atom
N(E_F)	3.04	states/eV/f.u.

=====

(11)
A relaxed YCdCl2 crystal. Source: Alexandria, functional PBE.

Lattice parameters (Å, degrees): 3.364 3.364 9.904 90.00 90.00 90.00
Space group P4/mmm (No. 123)
One atom of each set of equivalent atoms:
Y: 0.000 0.000 0.000
Cd: 0.000 0.000 0.500
Cl: 0.500 0.500 0.160

Summary:
excess energy over the best structure of this formula in the dataset	0.0095	eV per atom
E_form (uncorrected)	-29.93	kcal/mol of atoms
electronic total energy	-4.066	eV/atom
N(E_F)	1.49	states/eV/f.u.

=====

(12)
A relaxed FeTe2W2 crystal. Source: Alexandria, functional PBE.

Lattice parameters (Å, degrees): 5.288 5.288 8.041 90.00 90.00 90.00
Space group I4/mmm (No. 139)
One atom of each set of equivalent atoms:
Fe: 0.000 0.000 0.000
Te: 0.000 0.500 0.250
W: 0.000 0.000 0.357

Summary:
E_form (uncorrected)	24.91	kcal/mol of atoms
electronic total energy	-7.050	eV/atom
N(E_F)	7.03	states/eV/f.u.

=====

(13)
A relaxed Li3ZrCd12 crystal. Source: Alexandria, functional PBE.

Lattice parameters (Å, degrees): 4.480 4.480 16.612 90.00 90.00 90.00
Space group P4/mmm (No. 123)
One atom of each set of equivalent atoms:
Li: 0.000 0.000 0.000
Li: 0.000 0.000 0.249
Zr: 0.000 0.000 0.500
Cd: 0.000 0.500 0.123
Cd: 0.000 0.500 0.370
Cd: 0.500 0.500 0.000
Cd: 0.500 0.500 0.244
Cd: 0.500 0.500 0.500

Summary:
energy of formation	-0.139	eV/atom
electronic total energy	-1.718	eV/atom
N(E_F)	6.18	states/eV/f.u.

=====

(14)
A relaxed ScCrP4 crystal. Source: Alexandria, functional PBE.

Lattice parameters (Å, degrees): 7.222 7.222 7.222 90.00 90.00 90.00
Space group F-43m (No. 216)
One atom of each set of equivalent atoms:
Sc: 0.000 0.000 0.000
Cr: 0.250 0.250 0.750
P: 0.123 0.123 0.377

Summary:
energy of formation	0.247	eV/atom
electronic total energy	-6.019	eV/atom
N(E_F)	4.93	states/eV/f.u.

=====

(15)
A relaxed KMgSc2 crystal. Source: Alexandria, functional PBE.

Lattice parameters (Å, degrees): 3.3518 3.3518 36.4778 90.00 90.00 120.00
Space group R-3m (No. 166, hexagonal axes)
One atom of each set of equivalent atoms:
K: 0.0000 0.0000 0.0000
Mg: 0.0000 0.0000 0.5000
Sc: 0.0000 0.0000 0.0972

Summary:
energy of formation	0.386	eV/atom
electronic total energy	-3.453	eV/atom
N(E_F)	7.10	states/eV/f.u.

=====

(16)
A relaxed MgCdIn2H crystal. Source: Alexandria, functional PBE.

Lattice parameters (Å, degrees): 4.867 4.867 4.279 90.00 90.00 90.00
Space group P4/mmm (No. 123)
One atom of each set of equivalent atoms:
Mg: 0.000 0.000 0.000
Cd: 0.500 0.500 0.000
In: 0.000 0.500 0.500
H: 0.000 0.000 0.500

Summary:
electronic total energy	-2.141	eV/atom
N(E_F)	2.51	states/eV/f.u.

=====

(17)
A relaxed KTiSbOs2 crystal. Source: Alexandria, functional PBE.

Lattice parameters (Å, degrees): 4.580 4.580 5.231 90.00 90.00 90.00
Space group P4/mmm (No. 123)
One atom of each set of equivalent atoms:
K: 0.000 0.000 0.000
Ti: 0.500 0.500 0.500
Sb: 0.000 0.000 0.500
Os: 0.000 0.500 0.000

Summary:
E_form (uncorrected)	69.04	kcal/mol of atoms
electronic total energy	-4.121	eV/atom
N(E_F)	6.28	states/eV/f.u.

=====

(18)
A relaxed SbRu2 crystal. Source: Alexandria, functional PBE.

Lattice parameters (Å, degrees): 9.958 3.024 6.609 90.00 99.49 90.00
Space group Cm (No. 8)
One atom of each set of equivalent atoms:
Sb: 0.000 0.000 0.000
Sb: 0.224 0.500 0.395
Ru: 0.145 0.500 0.759
Ru: 0.283 0.000 0.086
Ru: 0.368 0.000 0.699
Ru: 0.498 0.500 0.406

Summary:
E_form (uncorrected)	3.80	kcal/mol of atoms
electronic total energy	-7.393	eV/atom
N(E_F)	2.26	states/eV/f.u.

=====

(19)
A relaxed Rb3SbI6 crystal. Source: Alexandria, functional PBE.

Lattice parameters (Å, degrees): 12.984 12.984 12.984 90.00 90.00 90.00
Space group Fm-3m (No. 225)
One atom of each set of equivalent atoms:
Rb: 0.000 0.000 0.000
Rb: 0.250 0.250 0.250
Sb: 0.000 0.000 0.500
I: 0.000 0.000 0.267

Summary:
excess energy over the best structure of this formula in the dataset	0.0705	eV per atom
E_form (uncorrected)	-22.22	kcal/mol of atoms
electronic total energy	-2.596	eV/atom
N(E_F)	0.00	states/eV/f.u.

=====

(20)
A relaxed MgTi2Zn2P2O10 crystal. Source: Alexandria, functional PBE.

Lattice parameters (Å, degrees): 5.698 6.138 7.102 113.87 94.86 100.72
Space group P1 (No. 1)
One atom of each set of equivalent atoms:
Mg: 0.000 0.000 0.000
Ti: 0.194 0.666 0.313
Ti: 0.250 0.221 0.453
Zn: 0.451 0.610 0.965
Zn: 0.685 0.782 0.317
P: 0.480 0.031 0.794
P: 0.823 0.500 0.597
O: 0.032 0.381 0.625
O: 0.041 0.907 0.260
O: 0.180 0.334 0.240
O: 0.310 0.905 0.900
O: 0.365 0.230 0.758
O: 0.469 0.828 0.565
O: 0.600 0.295 0.453
O: 0.739 0.139 0.914
O: 0.767 0.656 0.813
O: 0.907 0.667 0.484

Summary:
excess energy over the best structure of this formula in the dataset	0.0000	eV per atom
E_form (uncorrected)	-50.05	kcal/mol of atoms
electronic total energy	-6.896	eV/atom
N(E_F)	0.41	states/eV/f.u.